# 1
# TeBr2N2

An optimized crystal structure of TeBr2N2 (PBE, Alexandria).

Cell: 8.1346 21.1997 7.6909 Å, 90.00 120.17 90.00°
With the nearest neighbours (Å) after each atom.
Space group C2/m (No. 12)
One atom of each set of equivalent atoms:
1 Te 0.0000 0.1396 0.0000 (multiplicity 4)  2 Br 2.51
2 Br 0.0763 0.2137 0.2851 (multiplicity 8)  1 Te 2.51
3 N 0.0120 0.5000 0.2436 (multiplicity 4)  1 N 1.11
4 N 0.1401 0.5000 0.7967 (multiplicity 4)  1 N 1.11

# 2
# TeBr2N

An optimized crystal structure of TeBr2N (PBE, Alexandria).

Cell: 7.2276 7.2276 7.2276 Å, 90.00 90.00 90.00°
With the nearest neighbours (Å) after each atom.
Space group Fm-3m (No. 225)
One atom of each set of equivalent atoms:
1 Te 0.0000 0.0000 0.0000 (multiplicity 4)  8 Br 3.13
2 Br 0.2500 0.2500 0.2500 (multiplicity 8)  4 Te 3.13, 4 N 3.13
3 N 0.0000 0.0000 0.5000 (multiplicity 4)  8 Br 3.13

Quick rundown of raw formation energy, same order as above: -0.034; 1.451 eV/atom